Entry 1:
Here is a geometry-optimized BaPd2I structure from Alexandria via LeMat-Bulk. Energies are from PBE.

Calculated values
- formation energy from raw total energies (eV per atom) = -0.37
- energy relative to the lowest polymorph listed for this composition (meV per atom) = 0
- space group = I-42d (122)

Cell and atoms, written as POSCAR:
```
BaPd2I
1.0
-4.1601 -0.8369 -2.9739
1.1023 -5.0618 -0.1175
-6.7992 -4.2768 6.2003
I Ba Pd
2 2 4
Direct
0.5000 0.5000 0.0000 I
0.2500 0.7500 0.5000 I
0.0000 0.0000 0.0000 Ba
0.7500 0.2500 0.5000 Ba
0.4464 0.1250 0.2500 Pd
0.3036 0.6250 0.2500 Pd
0.3750 0.5536 0.7500 Pd
0.8750 0.6964 0.7500 Pd
```

---

Entry 2:
Here is a geometry-optimized K2CdMo structure from Alexandria via LeMat-Bulk. Energies are from PBE.

Calculated values
- space group = Pm (6)

Cell and atoms, written as POSCAR:
```
K2CdMo
1.0
-0.8000 -0.8578 4.5090
-0.7029 -2.8278 -0.6626
8.9322 -5.4158 0.5545
Cd K Mo
1 2 1
Direct
0.5000 0.8252 0.6686 Cd
0.0000 0.0850 0.9212 K
0.5000 0.1823 0.3255 K
0.0000 0.4075 0.5847 Mo
```

---

Entry 3:
Here is a geometry-optimized Zn2CuSe structure from Alexandria via LeMat-Bulk. Energies are from PBE.

Calculated values
- formation energy from raw total energies (eV per atom) = 0.00
- space group = Pmmm (47)

Cell and atoms, written as POSCAR:
```
Zn2CuSe
1.0
3.5773 0.0000 0.0000
0.0000 2.7730 -0.0329
0.0000 0.0740 6.7043
Cu Se Zn
1 1 2
Direct
0.5000 0.2500 0.2500 Cu
0.5000 0.7500 0.7500 Se
0.0000 0.7497 0.0486 Zn
0.0000 0.7503 0.4514 Zn
```

---

Entry 4:
Here is a geometry-optimized Ni7Pt2Rh2 structure from Alexandria via LeMat-Bulk. Energies are from PBE.

Calculated values
- energy relative to the lowest polymorph listed for this composition (meV per atom) = 0
- space group = C2/m (12)

Cell and atoms, written as POSCAR:
```
Ni7Pt2Rh2
1.0
5.8699 -0.6287 -0.1721
-1.1201 4.3072 -1.0344
0.2948 -0.6287 5.8650
Ni Pt Rh
7 2 2
Direct
0.0692 0.3360 0.5890 Ni
0.4110 0.6640 0.9308 Ni
0.9308 0.6640 0.4110 Ni
0.5890 0.3360 0.0692 Ni
0.0000 0.5000 0.0000 Ni
0.2628 0.0527 0.2628 Ni
0.7372 0.9473 0.7372 Ni
0.8182 0.0000 0.1818 Pt
0.1818 0.0000 0.8182 Pt
0.6061 0.3283 0.6061 Rh
0.3939 0.6717 0.3939 Rh
```

---

Entry 5:
Here is a geometry-optimized Ho2SbN structure from Alexandria via LeMat-Bulk. Energies are from PBE.

Calculated values
- formation energy from raw total energies (eV per atom) = -0.61
- energy relative to the lowest polymorph listed for this composition (meV per atom) = 773
- space group = R-3m (166)

Cell and atoms, written as POSCAR:
```
Ho2SbN
1.0
4.7935 0.0000 0.0000
2.3968 4.1513 0.0000
2.3968 1.3838 7.0283
Sb Ho N
1 2 1
Direct
0.5000 0.5000 0.5000 Sb
0.0943 0.0943 0.7170 Ho
0.9057 0.9057 0.2830 Ho
0.0000 0.0000 0.0000 N
```

---

Entry 6:
Here is a geometry-optimized EuAl2Cu structure from Alexandria via LeMat-Bulk. Energies are from PBE.

Calculated values
- space group = P4/mmm (123)

Cell and atoms, written as POSCAR:
```
EuAl2Cu
1.0
3.0901 0.0000 0.0000
0.0000 3.0901 0.0000
0.0000 0.0000 7.8551
Eu Al Cu
1 2 1
Direct
0.5000 0.5000 0.5000 Eu
0.0000 0.0000 0.8083 Al
0.0000 0.0000 0.1917 Al
0.5000 0.5000 0.0000 Cu
```

---

Entry 7:
Here is a geometry-optimized Mg2AlB structure from Alexandria via LeMat-Bulk. Energies are from PBE.

Calculated values
- energy relative to the lowest polymorph listed for this composition (meV per atom) = 31
- space group = Cm (8)

Cell and atoms, written as POSCAR:
```
Mg2AlB
1.0
6.5906 0.0000 0.0120
0.0000 4.9669 0.0000
-0.0418 0.0000 8.5916
Mg B Al
8 4 4
Direct
0.8480 0.0000 0.9538 Mg
0.8480 0.5000 0.4538 Mg
0.4215 0.0000 0.6280 Mg
0.4215 0.5000 0.1280 Mg
0.1117 0.0000 0.2448 Mg
0.1117 0.5000 0.7448 Mg
0.6202 0.0000 0.2926 Mg
0.6202 0.5000 0.7926 Mg
0.1165 0.3380 0.0133 B
0.1165 0.6620 0.0133 B
0.1165 0.8380 0.5133 B
0.1165 0.1620 0.5133 B
0.8426 0.0000 0.6267 Al
0.8426 0.5000 0.1267 Al
0.3032 0.0000 0.9495 Al
0.3032 0.5000 0.4495 Al
```

---

Entry 8:
Here is a geometry-optimized HfMg2InAu structure from Alexandria via LeMat-Bulk. Energies are from PBE.

Calculated values
- space group = P4/mmm (123)

Cell and atoms, written as POSCAR:
```
HfMg2InAu
1.0
-2.7640 -0.4713 4.0997
-0.1821 -5.2261 -0.7236
4.1232 -0.5203 2.7200
Hf Mg Au In
1 2 1 1
Direct
0.0000 0.5000 0.0000 Hf
0.0000 0.0000 0.5000 Mg
0.5000 0.0000 0.0000 Mg
0.0000 0.0000 0.0000 Au
0.5000 0.5000 0.5000 In
```

---

Entry 9:
Here is a geometry-optimized LiInPb structure from Alexandria via LeMat-Bulk. Energies are from PBE.

Calculated values
- space group = P6_3/mmc (194)

Cell and atoms, written as POSCAR:
```
LiInPb
1.0
-2.7330 -1.9534 -4.1368
0.9865 -3.0803 4.2351
-5.5035 1.9625 2.7092
Pb Li In
2 2 2
Direct
0.3333 0.6667 0.7500 Pb
0.6667 0.3333 0.2500 Pb
0.0000 0.0000 0.0000 Li
0.0000 0.0000 0.5000 Li
0.3333 0.6667 0.2500 In
0.6667 0.3333 0.7500 In
```

---

Entry 10:
Here is a geometry-optimized La2ScTl3S6 structure from Alexandria via LeMat-Bulk. Energies are from PBE.

Calculated values
- formation energy from raw total energies (eV per atom) = -1.46
- space group = C2/m (12)

Cell and atoms, written as POSCAR:
```
La2ScTl3S6
1.0
-3.3210 -6.3161 0.4533
2.1634 2.4333 -6.3661
6.9449 -2.0985 2.8931
La Sc Tl S
2 1 3 6
Direct
0.3332 0.6668 0.0000 La
0.6668 0.3332 0.0000 La
0.0000 0.0000 0.0000 Sc
0.1672 0.8328 0.5000 Tl
0.8328 0.1672 0.5000 Tl
0.5000 0.5000 0.5000 Tl
0.9340 0.6264 0.8034 S
0.7585 0.7585 0.2032 S
0.0660 0.3736 0.1966 S
0.6264 0.9340 0.8034 S
0.2415 0.2415 0.7968 S
0.3736 0.0660 0.1966 S
```

---

Entry 11:
Here is a geometry-optimized BaMnPb2S4 structure from Alexandria via LeMat-Bulk. Energies are from PBE.

Calculated values
- formation energy from raw total energies (eV per atom) = -0.91
- space group = Cmcm (63)

Cell and atoms, written as POSCAR:
```
BaMnPb2S4
1.0
4.1975 0.0000 0.0000
-2.0987 7.0400 0.0000
0.0000 0.0000 14.6786
Ba Mn Pb S
2 2 4 8
Direct
0.1086 0.2172 0.7500 Ba
0.8914 0.7828 0.2500 Ba
0.8377 0.6753 0.7500 Mn
0.1623 0.3247 0.2500 Mn
0.3685 0.7370 0.5488 Pb
0.6315 0.2630 0.0488 Pb
0.6315 0.2630 0.4512 Pb
0.3685 0.7370 0.9512 Pb
0.2718 0.5435 0.1277 S
0.7282 0.4565 0.6277 S
0.7282 0.4565 0.8723 S
0.2718 0.5435 0.3723 S
0.0000 0.0000 0.5000 S
0.0000 0.0000 0.0000 S
0.4307 0.8614 0.7500 S
0.5693 0.1386 0.2500 S
```

---

Entry 12:
Here is a geometry-optimized Rb2UAlS4 structure from Alexandria via LeMat-Bulk. Energies are from PBE.

Calculated values
- formation energy from raw total energies (eV per atom) = -1.13
- space group = I-4 (82)

Cell and atoms, written as POSCAR:
```
Rb2UAlS4
1.0
7.1141 -0.1427 -0.2186
-3.1604 6.3752 0.2186
-3.1604 -2.3655 5.9241
Rb U Al S
2 1 1 4
Direct
0.5000 0.7500 0.2500 Rb
0.0000 0.0000 0.0000 Rb
0.5000 0.2500 0.7500 U
0.0000 0.5000 0.5000 Al
0.6345 0.4074 0.4742 S
0.0668 0.2271 0.5926 S
0.9332 0.5258 0.1603 S
0.3655 0.8397 0.7729 S
```

---

Entry 13:
Here is a geometry-optimized BeBAs2 structure from Alexandria via LeMat-Bulk. Energies are from PBE.

Calculated values
- energy relative to the lowest polymorph listed for this composition (meV per atom) = 1020
- space group = Fm-3m (225)

Cell and atoms, written as POSCAR:
```
BeBAs2
1.0
0.0000 2.9973 2.9973
2.9973 0.0000 2.9973
2.9973 2.9973 0.0000
Be As B
1 2 1
Direct
0.0000 0.0000 0.0000 Be
0.2500 0.2500 0.2500 As
0.7500 0.7500 0.7500 As
0.5000 0.5000 0.5000 B
```

---

Entry 14:
Here is a geometry-optimized KHgRh structure from Alexandria via LeMat-Bulk. Energies are from PBE.

Calculated values
- energy relative to the lowest polymorph listed for this composition (meV per atom) = 0
- space group = Imm2 (44)

Cell and atoms, written as POSCAR:
```
KHgRh
1.0
6.4022 -0.0070 -0.0062
4.1971 4.8346 0.0062
-5.0188 -3.0305 2.5723
Hg K Rh
1 1 1
Direct
0.0585 0.0585 0.0000 Hg
0.3348 0.3348 0.0000 K
0.6067 0.6067 0.0000 Rh
```

---

Entry 15:
Here is a geometry-optimized Ac2Pm5Dy structure from Alexandria via LeMat-Bulk. Energies are from PBE.

Calculated values
- space group = I4/mmm (139)

Cell and atoms, written as POSCAR:
```
Ac2Pm5Dy
1.0
-1.4779 3.4134 3.7619
-1.5335 -4.0349 3.0586
11.0454 -0.1542 0.7593
Ac Pm Dy
2 5 1
Direct
0.7503 0.7503 0.5005 Ac
0.2497 0.2497 0.4995 Ac
0.5000 0.5000 0.0000 Pm
0.3812 0.8812 0.7625 Pm
0.8812 0.3812 0.7625 Pm
0.6188 0.1188 0.2375 Pm
0.1188 0.6188 0.2375 Pm
0.0000 0.0000 0.0000 Dy
```

---

Entry 16:
Here is a geometry-optimized P2PtCO structure from Alexandria via LeMat-Bulk. Energies are from PBE.

Calculated values
- formation energy from raw total energies (eV per atom) = 0.80
- energy relative to the lowest polymorph listed for this composition (meV per atom) = 0
- space group = P4/mmm (123)

Cell and atoms, written as POSCAR:
```
P2PtCO
1.0
4.2477 0.0000 0.0000
0.0000 4.2477 0.0000
0.0000 0.0000 3.1583
P C O Pt
2 1 1 1
Direct
0.0000 0.5000 0.0000 P
0.5000 0.0000 0.0000 P
0.0000 0.0000 0.0000 C
0.0000 0.0000 0.5000 O
0.5000 0.5000 0.5000 Pt
```

---

Entry 17:
Here is a geometry-optimized Li6HoCu6 structure from Alexandria via LeMat-Bulk. Energies are from PBE.

Calculated values
- space group = Immm (71)

Cell and atoms, written as POSCAR:
```
Li6HoCu6
1.0
-4.7078 1.4026 -0.7184
-3.4278 0.2187 5.7362
-0.7199 6.6279 0.5041
Li Ho Cu
6 1 6
Direct
0.3580 0.6420 0.6420 Li
0.6420 0.3580 0.3580 Li
0.0000 0.3447 0.6553 Li
0.0000 0.6553 0.3447 Li
0.2903 0.2097 0.2097 Li
0.7097 0.7903 0.7903 Li
0.0000 0.0000 0.0000 Ho
0.0000 0.5000 0.0000 Cu
0.5000 0.5000 0.0000 Cu
0.0000 0.0000 0.5000 Cu
0.5000 0.0000 0.5000 Cu
0.5000 0.7872 0.2128 Cu
0.5000 0.2128 0.7872 Cu
```

---

Entry 18:
Here is a geometry-optimized TePt2Se structure from Alexandria via LeMat-Bulk. Energies are from PBE.

Calculated values
- formation energy from raw total energies (eV per atom) = -0.09
- energy relative to the lowest polymorph listed for this composition (meV per atom) = 223
- space group = Cm (8)

Cell and atoms, written as POSCAR:
```
TePt2Se
1.0
-4.2080 -2.5855 -3.8277
-5.4774 -2.9971 -0.2440
-0.6390 3.7645 0.2059
Pt Se Te
2 1 1
Direct
0.9974 0.9974 0.9973 Pt
0.7546 0.7546 0.7565 Pt
0.5137 0.5137 0.5088 Se
0.2343 0.2343 0.2374 Te
```

---

Entry 19:
Here is a geometry-optimized Sr2SnGe structure from Alexandria via LeMat-Bulk. Energies are from PBE.

Calculated values
- space group = R-3m (166)

Cell and atoms, written as POSCAR:
```
Sr2SnGe
1.0
-2.9619 -1.3689 2.3826
0.1609 -3.7622 1.4640
4.4342 1.9294 10.0461
Sr Ge Sn
2 1 1
Direct
0.1025 0.1025 0.6926 Sr
0.8975 0.8975 0.3074 Sr
0.5000 0.5000 0.5000 Ge
0.0000 0.0000 0.0000 Sn
```

---

Entry 20:
Here is a geometry-optimized Cs2Ag3Cl6 structure from Alexandria via LeMat-Bulk. Energies are from PBE.

Calculated values
- formation energy from raw total energies (eV per atom) = -0.95
- space group = P-62m (189)

Cell and atoms, written as POSCAR:
```
Cs2Ag3Cl6
1.0
-2.3934 2.4895 3.6981
-5.4789 3.5945 -5.9657
-2.0777 -7.7090 3.8449
Cs Ag Cl
2 3 6
Direct
0.0000 0.3333 0.6667 Cs
0.0000 0.6667 0.3333 Cs
0.5000 0.2039 0.0000 Ag
0.5000 0.0000 0.2039 Ag
0.5000 0.7961 0.7961 Ag
0.5000 0.6612 0.0000 Cl
0.5000 0.3388 0.3389 Cl
0.0000 0.2518 0.0000 Cl
0.0000 0.0000 0.2518 Cl
0.5000 0.0000 0.6611 Cl
0.0000 0.7482 0.7482 Cl
```

---

Entry 21:
Here is a geometry-optimized CsRbAu2 structure from Alexandria via LeMat-Bulk. Energies are from PBE.

Calculated values
- energy relative to the lowest polymorph listed for this composition (meV per atom) = 18
- space group = Fm-3m (225)

Cell and atoms, written as POSCAR:
```
CsRbAu2
1.0
0.0000 4.2760 4.2760
4.2760 0.0000 4.2760
4.2760 4.2760 0.0000
Cs Au Rb
1 2 1
Direct
0.5000 0.5000 0.5000 Cs
0.2500 0.2500 0.2500 Au
0.7500 0.7500 0.7500 Au
0.0000 0.0000 0.0000 Rb
```

---

Entry 22:
Here is a geometry-optimized Ni4Pd4Rh structure from Alexandria via LeMat-Bulk. Energies are from PBE.

Calculated values
- space group = I4/mmm (139)

Cell and atoms, written as POSCAR:
```
Ni4Pd4Rh
1.0
-1.6803 0.0525 3.3130
-5.9407 0.1167 -0.9318
-0.9574 -5.6929 1.6877
Ni Pd Rh
4 4 1
Direct
0.3372 0.3256 0.0000 Ni
0.6628 0.6744 0.0000 Ni
0.6628 0.0000 0.6744 Ni
0.3372 0.0000 0.3256 Ni
0.0000 0.6750 0.3250 Pd
0.0000 0.3250 0.6750 Pd
0.6750 0.3250 0.3250 Pd
0.3250 0.6750 0.6750 Pd
0.0000 0.0000 0.0000 Rh
```

---

Entry 23:
Here is a geometry-optimized RbTlPd2 structure from Alexandria via LeMat-Bulk. Energies are from PBE.

Calculated values
- energy relative to the lowest polymorph listed for this composition (meV per atom) = 57
- space group = P2_1/m (11)

Cell and atoms, written as POSCAR:
```
RbTlPd2
1.0
4.5777 0.0000 -1.2360
0.0000 8.0198 0.0000
-0.6096 0.0000 6.8601
Rb Tl Pd
2 2 4
Direct
0.9589 0.7500 0.9189 Rb
0.0411 0.2500 0.0811 Rb
0.6921 0.7500 0.3843 Tl
0.3079 0.2500 0.6157 Tl
0.2304 0.5792 0.4609 Pd
0.7696 0.4208 0.5391 Pd
0.7696 0.0792 0.5391 Pd
0.2304 0.9208 0.4609 Pd
```

---

Entry 24:
Here is a geometry-optimized Gd2PuAl structure from Alexandria via LeMat-Bulk. Energies are from PBE.

Calculated values
- energy relative to the lowest polymorph listed for this composition (meV per atom) = 60
- space group = Fm-3m (225)

Cell and atoms, written as POSCAR:
```
Gd2PuAl
1.0
5.3316 0.0000 0.0000
2.6658 4.6173 0.0000
2.6658 1.5391 4.3533
Gd Al Pu
2 1 1
Direct
0.2500 0.2500 0.2500 Gd
0.7500 0.7500 0.7500 Gd
0.5000 0.5000 0.5000 Al
0.0000 0.0000 0.0000 Pu
```

---

Entry 25:
Here is a geometry-optimized TiCu4Ni structure from Alexandria via LeMat-Bulk. Energies are from PBE.

Calculated values
- space group = F-43m (216)

Cell and atoms, written as POSCAR:
```
TiCu4Ni
1.0
4.7512 0.0000 0.0000
2.3756 4.1147 0.0000
2.3756 1.3716 3.8793
Ni Cu Ti
1 4 1
Direct
0.0000 0.0000 0.0000 Ni
0.6254 0.6254 0.1237 Cu
0.6254 0.1237 0.6254 Cu
0.6254 0.6254 0.6254 Cu
0.1237 0.6254 0.6254 Cu
0.2500 0.2500 0.2500 Ti
```

---

Entry 26:
Here is a geometry-optimized K2Pd3Pb structure from Alexandria via LeMat-Bulk. Energies are from PBE.

Calculated values
- space group = R-3m (166)

Cell and atoms, written as POSCAR:
```
K2Pd3Pb
1.0
-0.8256 5.6459 -1.7441
3.5900 -3.5932 -3.1307
-4.1285 -3.8560 -0.3115
K Pd Pb
2 3 1
Direct
0.7582 0.3791 0.1373 K
0.2418 0.6209 0.8627 K
0.5000 0.5000 0.5000 Pd
0.0000 0.0000 0.5000 Pd
0.5000 0.0000 0.5000 Pd
0.0000 0.0000 0.0000 Pb
```

---

| no. | electronic total energy (eV/atom) |
| --- | --- |
| 1 | -3.84 |
| 2 | -2.66 |
| 3 | -2.53 |
| 4 | -6.03 |
| 5 | -6.01 |
| 6 | -5.64 |
| 7 | -3.26 |
| 8 | -3.71 |
| 9 | -2.87 |
| 10 | -5.46 |
| 11 | -5.29 |
| 12 | -5.32 |
| 13 | -3.85 |
| 14 | -2.73 |
| 15 | -4.53 |
| 16 | -5.41 |
| 17 | -3.19 |
| 18 | -4.77 |
| 19 | -3.03 |
| 20 | -2.89 |
| 21 | -2.39 |
| 22 | -5.65 |
| 23 | -3.54 |
| 24 | -11.57 |
| 25 | -5.05 |
| 26 | -3.74 |